A relaxed ZrBiNO crystal. Source: OQMD, functional PBE.

Results
ρ = 8.7 g/cm³
Crystal system = orthorhombic
Energy above the lowest structure with this stoichiometry = 345.8 meV per atom
Size of the total moment = 0.0 μB per formula unit

Cell: 5.8245 7.7078 5.6243 Å, 90.00 90.00 90.00°
Sites, in units of the cell vectors:
Bi  0.0395  0.3462  0.4883
Bi  0.5395  0.6538  0.4883
Bi  0.4605  0.3462  0.9883
Bi  0.9605  0.6538  0.9883
N  0.6006  0.3814  0.4869
N  0.1006  0.6186  0.4869
N  0.8994  0.3814  0.9869
N  0.3994  0.6186  0.9869
O  0.7500  0.0203  0.2384
O  0.2499  0.9797  0.2384
O  0.7501  0.0203  0.7384
O  0.2501  0.9797  0.7384
Zr  0.4927  0.1329  0.4888
Zr  0.9927  0.8671  0.4888
Zr  0.0073  0.1329  0.9888
Zr  0.5073  0.8671  0.9888